1) CrFeBr: optimized geometry, PBE.

Properties
Symmetry   F-43m, No. 216
V   16.71 A^3/atom

a = 4.139 Å, b = 4.139 Å, c = 4.139 Å
α = 60.00°, β = 60.00°, γ = 60.00°
Each line ends with the local moment (μB).
Sites, in units of the cell vectors:
Br (0.000, 0.000, 0.000)  0.07
Cr (0.500, 0.500, 0.500)  3.45
Fe (0.250, 0.250, 0.250)  -1.35

2) CrFeBr: optimized geometry, PBE.

Properties
Symmetry   P3m1, No. 156
V   16.00 A^3/atom

a = 4.148 Å, b = 4.148 Å, c = 3.221 Å
α = 90.00°, β = 90.00°, γ = 120.00°
Each line ends with the local moment (μB).
Sites, in units of the cell vectors:
Fe (0.333, 0.667, 0.828)  -2.07
Cr (0.667, 0.333, 0.333)  3.61
Br (0.000, 0.000, 0.839)  0.00

So which one is most stable? That would be 2), about 3.3 kJ/mol of atoms below the next structure.

1) CrFe3Br: optimized geometry, PBE.

Properties
Symmetry   Pm-3m, No. 221
V   16.70 A^3/atom

a = 4.371 Å, b = 4.371 Å, c = 4.371 Å
α = 90.00°, β = 90.00°, γ = 90.00°
Each line ends with the local moment (μB).
Sites, in units of the cell vectors:
Fe (0.000, 0.500, 0.000)  2.25
Fe (0.500, 0.000, 0.000)  2.30
Fe (0.000, 0.000, 0.500)  2.20
Cr (0.500, 0.500, 0.500)  3.71
Br (0.000, 0.000, 0.000)  -0.01

2) CrFe3Br: optimized geometry, PBE.

Properties
Symmetry   Pm-3m, No. 221
V   16.94 A^3/atom

a = 4.392 Å, b = 4.392 Å, c = 4.392 Å
α = 90.00°, β = 90.00°, γ = 90.00°
Each line ends with the local moment (μB).
Sites, in units of the cell vectors:
Fe (0.000, 0.500, 0.000)  2.27
Fe (0.500, 0.000, 0.000)  1.84
Fe (0.000, 0.000, 0.500)  2.34
Cr (0.000, 0.000, 0.000)  -1.68
Br (0.500, 0.500, 0.500)  0.09

So which one is most stable? That would be 2), about 1.9 kJ/mol of atoms below the next structure.

1) CrGaSe2Br: optimized geometry, PBE.

Properties
Symmetry   P4/mmm, No. 123
V   25.12 A^3/atom

a = 4.830 Å, b = 4.830 Å, c = 5.385 Å
α = 90.00°, β = 90.00°, γ = 90.00°
Each line ends with the local moment (μB).
Sites, in units of the cell vectors:
Se (0.000, 0.500, 0.000)  -0.17
Se (0.500, 0.000, 0.000)  -0.17
Br (0.000, 0.000, 0.500)  -0.04
Ga (0.500, 0.500, 0.500)  0.01
Cr (0.000, 0.000, 0.000)  2.78

2) CrGaSe2Br: optimized geometry, PBE.

Properties
Symmetry   P4/mmm, No. 123
V   25.69 A^3/atom

a = 4.986 Å, b = 4.986 Å, c = 5.168 Å
α = 90.00°, β = 90.00°, γ = 90.00°
Each line ends with the local moment (μB).
Sites, in units of the cell vectors:
Se (0.500, 0.000, 0.000)  -0.14
Se (0.000, 0.500, 0.000)  -0.14
Ga (0.000, 0.000, 0.000)  0.01
Br (0.000, 0.000, 0.500)  -0.01
Cr (0.500, 0.500, 0.500)  4.14

So which one is most stable? That would be 1), about 42.5 kJ/mol of atoms below the next structure.

1) CrGaSeBr2: optimized geometry, PBE.

Properties
Symmetry   P4/mmm, No. 123
V   27.09 A^3/atom

a = 5.153 Å, b = 5.153 Å, c = 5.101 Å
α = 90.00°, β = 90.00°, γ = 90.00°
Each line ends with the local moment (μB).
Sites, in units of the cell vectors:
Cr (0.500, 0.500, 0.500)  4.23
Br (0.000, 0.500, 0.000)  -0.01
Br (0.500, 0.000, 0.000)  -0.01
Ga (0.000, 0.000, 0.000)  0.01
Se (0.000, 0.000, 0.500)  -0.16

2) CrGaSeBr2: optimized geometry, PBE.

Properties
Symmetry   P4/mmm, No. 123
V   26.73 A^3/atom

a = 5.274 Å, b = 5.274 Å, c = 4.806 Å
α = 90.00°, β = 90.00°, γ = 90.00°
Each line ends with the local moment (μB).
Sites, in units of the cell vectors:
Cr (0.000, 0.000, 0.000)  3.17
Ga (0.500, 0.500, 0.500)  0.01
Br (0.500, 0.000, 0.000)  -0.03
Br (0.000, 0.500, 0.000)  -0.03
Se (0.000, 0.000, 0.500)  -0.26

So which one is most stable? That would be 2), about 44.2 kJ/mol of atoms below the next structure.

1) CrGe2Br: optimized geometry, PBE.

Properties
Symmetry   I-42d, No. 122
V   26.06 A^3/atom

a = 5.061 Å, b = 5.061 Å, c = 8.893 Å
α = 73.47°, β = 73.47°, γ = 90.00°
Each line ends with the local moment (μB).
Sites, in units of the cell vectors:
Ge (0.875, 0.731, 0.750)  -0.12
Ge (0.269, 0.625, 0.250)  -0.12
Ge (0.481, 0.125, 0.250)  -0.12
Ge (0.375, 0.519, 0.750)  -0.13
Cr (0.500, 0.500, 0.000)  2.83
Cr (0.250, 0.750, 0.500)  2.82
Br (0.750, 0.250, 0.500)  0.04
Br (0.000, 0.000, 0.000)  0.04

2) CrGe2Br: optimized geometry, PBE.

Properties
Symmetry   Fm-3m, No. 225
V   18.21 A^3/atom

a = 4.687 Å, b = 4.687 Å, c = 4.687 Å
α = 60.00°, β = 60.00°, γ = 60.00°
Sites, in units of the cell vectors:
Br (0.500, 0.500, 0.500)
Cr (0.000, 0.000, 0.000)
Ge (0.250, 0.250, 0.250)
Ge (0.750, 0.750, 0.750)

So which one is most stable? That would be 1), about 48.6 kJ/mol of atoms below the next structure.

1) Rb2CrGeBr6: optimized geometry, PBE.

Properties
Symmetry   Fm-3m, No. 225
V   32.12 A^3/atom

a = 7.684 Å, b = 7.684 Å, c = 7.689 Å
α = 60.02°, β = 60.02°, γ = 90.00°
Each line ends with the local moment (μB).
Sites, in units of the cell vectors:
Br (0.257, 0.257, 0.000)  -0.01
Br (0.743, 0.743, 0.000)  -0.01
Br (0.743, 0.743, 0.514)  -0.01
Br (0.257, 0.743, 0.000)  -0.01
Br (0.743, 0.257, 0.000)  -0.01
Br (0.257, 0.257, 0.486)  -0.01
Rb (0.750, 0.250, 0.500)  0.00
Rb (0.250, 0.750, 0.500)  0.00
Ge (0.000, 0.000, 0.000)  0.06
Cr (0.500, 0.500, 0.000)  3.59

2) Rb2CrGeBr6: optimized geometry, PBE.

Properties
Symmetry   P4/mmm, No. 123
V   32.28 A^3/atom

a = 5.464 Å, b = 5.464 Å, c = 10.813 Å
α = 90.00°, β = 90.00°, γ = 90.00°
Each line ends with the local moment (μB).
Sites, in units of the cell vectors:
Br (0.500, 0.500, 0.740)  -0.01
Br (0.000, 0.500, 0.500)  -0.02
Br (0.500, 0.000, 0.000)  0.00
Br (0.500, 0.000, 0.500)  -0.02
Br (0.500, 0.500, 0.260)  -0.01
Br (0.000, 0.500, 0.000)  0.00
Rb (0.000, 0.000, 0.262)  0.00
Rb (0.000, 0.000, 0.738)  0.00
Cr (0.500, 0.500, 0.500)  3.68
Ge (0.500, 0.500, 0.000)  0.00

So which one is most stable? That would be 2), about 0.6 kJ/mol of atoms below the next structure.

1) CrHBr3: optimized geometry, PBE.

Properties
Symmetry   C2/m, No. 12
V   27.06 A^3/atom

a = 7.044 Å, b = 7.044 Å, c = 11.221 Å
α = 82.21°, β = 82.21°, γ = 29.40°
Each line ends with the local moment (μB).
Sites, in units of the cell vectors:
Cr (0.750, 0.750, 0.170)  3.45
Cr (0.250, 0.250, 0.830)  3.45
Br (0.855, 0.855, 0.911)  -0.04
Br (0.364, 0.364, 0.607)  0.01
Br (0.636, 0.636, 0.393)  0.01
Br (0.634, 0.634, 0.779)  -0.04
Br (0.145, 0.145, 0.089)  -0.04
Br (0.366, 0.366, 0.221)  -0.04
H (0.136, 0.136, 0.395)  0.00
H (0.864, 0.864, 0.605)  0.00

2) CrHBr3: optimized geometry, PBE.

Properties
Symmetry   Pm-3m, No. 221
V   20.99 A^3/atom

a = 4.717 Å, b = 4.717 Å, c = 4.717 Å
α = 90.00°, β = 90.00°, γ = 90.00°
Each line ends with the local moment (μB).
Sites, in units of the cell vectors:
Br (0.500, 0.000, 0.000)  -0.14
Br (0.000, 0.500, 0.000)  -0.20
Br (0.000, 0.000, 0.500)  -0.11
H (0.000, 0.000, 0.000)  0.01
Cr (0.500, 0.500, 0.500)  4.04

So which one is most stable? That would be 1), about 93.0 kJ/mol of atoms below the next structure.

1) CrHSe2Br: optimized geometry, PBE.

Properties
Symmetry   P4/mmm, No. 123
V   22.26 A^3/atom

a = 4.576 Å, b = 4.576 Å, c = 5.315 Å
α = 90.00°, β = 90.00°, γ = 90.00°
Sites, in units of the cell vectors:
H (0.500, 0.500, 0.500)
Cr (0.000, 0.000, 0.000)
Se (0.500, 0.000, 0.000)
Se (0.000, 0.500, 0.000)
Br (0.000, 0.000, 0.500)

2) CrHSe2Br: optimized geometry, PBE.

Properties
Symmetry   P4/mmm, No. 123
V   21.34 A^3/atom

a = 3.923 Å, b = 3.923 Å, c = 6.931 Å
α = 90.00°, β = 90.00°, γ = 90.00°
Each line ends with the local moment (μB).
Sites, in units of the cell vectors:
Cr (0.500, 0.500, 0.500)  4.14
H (0.000, 0.000, 0.000)  0.00
Br (0.000, 0.000, 0.500)  -0.03
Se (0.000, 0.500, 0.000)  -0.01
Se (0.500, 0.000, 0.000)  -0.01

So which one is most stable? That would be 2), about 23.7 kJ/mol of atoms below the next structure.

1) CrHSeBr2: optimized geometry, PBE.

Properties
Symmetry   P4/mmm, No. 123
V   20.03 A^3/atom

a = 5.320 Å, b = 5.320 Å, c = 3.538 Å
α = 90.00°, β = 90.00°, γ = 90.00°
Each line ends with the local moment (μB).
Sites, in units of the cell vectors:
Br (0.500, 0.000, 0.000)  -0.12
Br (0.000, 0.500, 0.000)  -0.12
Se (0.000, 0.000, 0.500)  -0.40
Cr (0.500, 0.500, 0.500)  4.12
H (0.000, 0.000, 0.000)  -0.01

2) CrHSeBr2: optimized geometry, PBE.

Properties
Symmetry   P4/mmm, No. 123
V   25.33 A^3/atom

a = 5.180 Å, b = 5.180 Å, c = 4.721 Å
α = 90.00°, β = 90.00°, γ = 90.00°
Each line ends with the local moment (μB).
Sites, in units of the cell vectors:
H (0.500, 0.500, 0.500)  0.37
Br (0.000, 0.500, 0.000)  -0.03
Br (0.500, 0.000, 0.000)  -0.03
Se (0.000, 0.000, 0.500)  -0.50
Cr (0.000, 0.000, 0.000)  2.85

So which one is most stable? That would be 2), about 19.7 kJ/mol of atoms below the next structure.

1) HfCr2Br: optimized geometry, PBE.

Properties
Symmetry   I-42d, No. 122
V   19.35 A^3/atom

a = 7.451 Å, b = 7.451 Å, c = 5.961 Å
α = 51.32°, β = 51.32°, γ = 90.00°
Each line ends with the local moment (μB).
Sites, in units of the cell vectors:
Cr (0.375, 0.409, 0.750)  3.28
Cr (0.875, 0.841, 0.750)  3.30
Cr (0.591, 0.125, 0.250)  3.25
Cr (0.159, 0.625, 0.250)  3.27
Hf (0.750, 0.250, 0.500)  -0.12
Hf (0.000, 0.000, 0.000)  -0.12
Br (0.500, 0.500, 0.000)  0.03
Br (0.250, 0.750, 0.500)  0.03

2) HfCr2Br: optimized geometry, PBE.

Properties
Symmetry   Fm-3m, No. 225
V   16.25 A^3/atom

a = 4.514 Å, b = 4.514 Å, c = 4.514 Å
α = 60.00°, β = 60.00°, γ = 60.00°
Each line ends with the local moment (μB).
Sites, in units of the cell vectors:
Cr (0.750, 0.750, 0.750)  1.55
Cr (0.250, 0.250, 0.250)  1.55
Hf (0.500, 0.500, 0.500)  -0.25
Br (0.000, 0.000, 0.000)  -0.04

So which one is most stable? That would be 1), about 15.8 kJ/mol of atoms below the next structure.

1) HfCrBr3: optimized geometry, PBE.

Properties
Symmetry   Pm-3m, No. 221
V   29.46 A^3/atom

a = 5.281 Å, b = 5.281 Å, c = 5.281 Å
α = 90.00°, β = 90.00°, γ = 90.00°
Each line ends with the local moment (μB).
Sites, in units of the cell vectors:
Cr (0.500, 0.500, 0.500)  4.51
Br (0.000, 0.000, 0.500)  0.02
Br (0.000, 0.500, 0.000)  0.02
Br (0.500, 0.000, 0.000)  0.02
Hf (0.000, 0.000, 0.000)  -0.06

2) HfCrBr3: optimized geometry, PBE.

Properties
Symmetry   Pm-3m, No. 221
V   27.33 A^3/atom

a = 5.151 Å, b = 5.151 Å, c = 5.151 Å
α = 90.00°, β = 90.00°, γ = 90.00°
Each line ends with the local moment (μB).
Sites, in units of the cell vectors:
Hf (0.500, 0.500, 0.500)  1.38
Br (0.000, 0.500, 0.000)  0.01
Br (0.000, 0.000, 0.500)  0.01
Br (0.500, 0.000, 0.000)  0.01
Cr (0.000, 0.000, 0.000)  3.83

So which one is most stable? That would be 1), about 39.1 kJ/mol of atoms below the next structure.

1) CrHgBr4: optimized geometry, PBE.

Properties
Symmetry   C2/m, No. 12
V   31.36 A^3/atom

a = 4.023 Å, b = 7.971 Å, c = 7.045 Å
α = 119.51°, β = 90.00°, γ = 104.62°
Each line ends with the local moment (μB).
Sites, in units of the cell vectors:
Br (0.614, 0.228, 0.912)  -0.04
Br (0.386, 0.772, 0.088)  -0.04
Br (0.890, 0.779, 0.527)  -0.03
Br (0.110, 0.221, 0.473)  -0.03
Cr (0.500, 0.000, 0.500)  3.41
Hg (0.000, 0.000, 0.000)  -0.04

2) CrHgBr4: optimized geometry, PBE.

Properties
Symmetry   F-43m, No. 216
V   29.84 A^3/atom

a = 6.326 Å, b = 6.326 Å, c = 6.326 Å
α = 60.00°, β = 60.00°, γ = 60.00°
Each line ends with the local moment (μB).
Sites, in units of the cell vectors:
Br (0.874, 0.375, 0.375)  -0.17
Br (0.375, 0.874, 0.375)  -0.17
Br (0.375, 0.375, 0.375)  -0.17
Br (0.375, 0.375, 0.874)  -0.17
Cr (0.750, 0.750, 0.750)  4.27
Hg (0.000, 0.000, 0.000)  -0.05

So which one is most stable? That would be 1), about 108.0 kJ/mol of atoms below the next structure.

1) CrHgBr3: optimized geometry, PBE.

Properties
Symmetry   R-3, No. 148
V   35.22 A^3/atom

a = 6.426 Å, b = 6.426 Å, c = 10.526 Å
α = 72.23°, β = 72.23°, γ = 60.00°
Each line ends with the local moment (μB).
Sites, in units of the cell vectors:
Cr (0.167, 0.167, 0.500)  2.94
Cr (0.833, 0.833, 0.500)  2.94
Br (0.191, 0.906, 0.354)  -0.05
Br (0.906, 0.549, 0.354)  -0.05
Br (0.809, 0.094, 0.646)  -0.05
Br (0.451, 0.809, 0.646)  -0.05
Br (0.094, 0.451, 0.646)  -0.05
Br (0.549, 0.191, 0.354)  -0.05
Hg (0.663, 0.663, 0.010)  -0.01
Hg (0.337, 0.337, 0.990)  -0.01

2) CrHgBr3: optimized geometry, PBE.

Properties
Symmetry   Pm-3m, No. 221
V   27.52 A^3/atom

a = 5.163 Å, b = 5.163 Å, c = 5.163 Å
α = 90.00°, β = 90.00°, γ = 90.00°
Each line ends with the local moment (μB).
Sites, in units of the cell vectors:
Cr (0.000, 0.000, 0.000)  3.33
Br (0.000, 0.500, 0.000)  -0.07
Br (0.000, 0.000, 0.500)  -0.07
Br (0.500, 0.000, 0.000)  -0.07
Hg (0.500, 0.500, 0.500)  -0.21

So which one is most stable? That would be 1), about 24.8 kJ/mol of atoms below the next structure.

1) Cr3HgBr: optimized geometry, PBE.

Properties
Symmetry   Pm-3m, No. 221
V   28.76 A^3/atom

a = 5.239 Å, b = 5.239 Å, c = 5.239 Å
α = 90.00°, β = 90.00°, γ = 90.00°
Each line ends with the local moment (μB).
Sites, in units of the cell vectors:
Cr (0.500, 0.000, 0.000)  3.81
Cr (0.000, 0.500, 0.000)  4.00
Cr (0.000, 0.000, 0.500)  4.14
Br (0.500, 0.500, 0.500)  0.02
Hg (0.000, 0.000, 0.000)  0.08

2) Cr3HgBr: optimized geometry, PBE.

Properties
Symmetry   Pm-3m, No. 221
V   16.90 A^3/atom

a = 4.388 Å, b = 4.388 Å, c = 4.388 Å
α = 90.00°, β = 90.00°, γ = 90.00°
Sites, in units of the cell vectors:
Cr (0.000, 0.500, 0.000)
Cr (0.500, 0.000, 0.000)
Cr (0.000, 0.000, 0.500)
Hg (0.500, 0.500, 0.500)
Br (0.000, 0.000, 0.000)

So which one is most stable? That would be 1), about 12.4 kJ/mol of atoms below the next structure.